(1)
First-principles (PBE-GGA) data for a geometry-optimized LiSmTm structure, as listed in Alexandria.

The calculation puts the uncorrected energy at -3.612 eV per atom. As for the excess energy over the best structure of this formula in the dataset: 7 meV/atom.

The structure belongs to space group I4mm (No. 107); the cell edges are 3.665, 3.665 and 12.382 Å and the angles 90.00°, 90.00° and 90.00°. The inequivalent atoms are Li at (0.000, 0.000, 0.000), Sm at (0.000, 0.000, 0.659) and Tm at (0.000, 0.000, 0.352).

=====

(2)
First-principles (PBE-GGA) data for a geometry-optimized AgOsRu structure, as listed in Alexandria.

The calculation puts the uncorrected energy at -7.169 eV per atom. As for the excess energy over the best structure of this formula in the dataset: 283 meV/atom.

The structure belongs to space group Fmm2 (No. 42); the cell edges are 2.798, 4.655 and 14.486 Å and the angles 90.00°, 90.00° and 90.00°. The inequivalent atoms are Ag at (0.000, 0.000, 0.000), Os at (0.000, 0.000, 0.677) and Ru at (0.000, 0.000, 0.325).

=====

(3)
First-principles (PBE-GGA) data for a geometry-optimized Pr3Sm2Er4 structure, as listed in Alexandria.

The calculation puts the uncorrected energy at -4.573 eV per atom. As for the excess energy over the best structure of this formula in the dataset: 76 meV/atom.

The structure belongs to space group C2/c (No. 15); the cell edges are 16.433, 11.804 and 6.172 Å and the angles 90.00°, 97.49° and 90.00°. The inequivalent atoms are Pr at (0.000, 0.131, 0.250), Pr at (0.163, 0.357, 0.091), Sm at (0.112, 0.128, 0.789), Er at (0.058, 0.384, 0.540) and Er at (0.230, 0.117, 0.363).

=====

(4)
First-principles (PBE-GGA) data for a geometry-optimized Ag5Se structure, as listed in Alexandria.

The calculation puts the uncorrected energy at -2.944 eV per atom. For the formation energy without anion corrections, the calculation gives 0.013 eV per atom.

The structure belongs to space group Cmmm (No. 65); the cell edges are 4.169, 12.851 and 4.164 Å and the angles 90.00°, 90.00° and 90.00°. The inequivalent atoms are Ag at (0.000, 0.000, 0.000), Ag at (0.000, 0.169, 0.500), Ag at (0.000, 0.329, 0.000) and Se at (0.000, 0.500, 0.500).

=====

(5)
First-principles (PBE-GGA) data for a geometry-optimized Na2ScRuO6 structure, as listed in Alexandria.

The calculation puts the uncorrected energy at -6.508 eV per atom. For the formation energy without anion corrections, the calculation gives -1.708 eV per atom.

The structure belongs to space group P2_1/c (No. 14); the cell edges are 5.492, 5.553 and 9.552 Å and the angles 90.00°, 124.93° and 90.00°. The inequivalent atoms are Na at (0.245, 0.031, 0.250), Sc at (0.500, 0.000, 0.000), Ru at (0.000, 0.000, 0.500), O at (0.159, 0.221, 0.964), O at (0.245, 0.697, 0.966) and O at (0.306, 0.015, 0.738).

=====

(6)
First-principles (PBE-GGA) data for a geometry-optimized V2NiCl structure, as listed in Alexandria.

The calculation puts the uncorrected energy at -6.080 eV per atom. As for the excess energy over the best structure of this formula in the dataset: 0 meV/atom. For the formation energy without anion corrections, the calculation gives 0.387 eV per atom.

The structure belongs to space group Fm-3m (No. 225); the cell edges are 5.908, 5.908 and 5.908 Å and the angles 90.00°, 90.00° and 90.00°. The inequivalent atoms are V at (0.250, 0.250, 0.250), Ni at (0.000, 0.000, 0.000) and Cl at (0.000, 0.000, 0.500).

=====

(7)
First-principles (PBE-GGA) data for a geometry-optimized Pm2Dy2Th structure, as listed in Alexandria.

The calculation puts the uncorrected energy at -5.169 eV per atom. As for the excess energy over the best structure of this formula in the dataset: 43 meV/atom.

The structure belongs to space group P2/m (No. 10); the cell edges are 5.400, 3.534 and 8.961 Å and the angles 90.00°, 107.48° and 90.00°. The inequivalent atoms are Pm at (0.198, 0.000, 0.395), Dy at (0.397, 0.500, 0.794) and Th at (0.000, 0.000, 0.000).

=====

(8)
First-principles (PBE-GGA) data for a geometry-optimized Pr8Ho2Cd structure, as listed in Alexandria.

The calculation puts the uncorrected energy at -4.354 eV per atom. As for the excess energy over the best structure of this formula in the dataset: 54 meV/atom.

The structure belongs to space group C2/m (No. 12); the cell edges are 17.901, 5.624 and 8.193 Å and the angles 90.00°, 112.88° and 90.00°. The inequivalent atoms are Pr at (0.014, 0.000, 0.252), Pr at (0.110, 0.500, 0.933), Pr at (0.165, 0.500, 0.412), Pr at (0.176, 0.000, 0.719), Ho at (0.194, 0.000, 0.156) and Cd at (0.000, 0.500, 0.500).

=====

(9)
First-principles (PBE-GGA) data for a geometry-optimized Sm3Tm3Tl2 structure, as listed in Alexandria.

The calculation puts the uncorrected energy at -4.147 eV per atom. As for the excess energy over the best structure of this formula in the dataset: 68 meV/atom.

The structure belongs to space group Cmcm (No. 63); the cell edges are 5.059, 11.853 and 16.552 Å and the angles 90.00°, 90.00° and 90.00°. The inequivalent atoms are Sm at (0.000, 0.046, 0.104), Sm at (0.000, 0.280, 0.250), Tm at (0.000, 0.364, 0.040), Tm at (0.000, 0.438, 0.750) and Tl at (0.000, 0.237, 0.626).

=====

(10)
First-principles (PBE-GGA) data for a geometry-optimized CaCdF4 structure, as listed in Alexandria.

The calculation puts the uncorrected energy at -4.785 eV per atom. For the formation energy without anion corrections, the calculation gives -3.051 eV per atom.

The structure belongs to space group Cmmm (No. 65); the cell edges are 7.335, 7.412 and 3.585 Å and the angles 90.00°, 90.00° and 90.00°. The inequivalent atoms are Ca at (0.000, 0.000, 0.000), Cd at (0.000, 0.500, 0.500), F at (0.000, 0.308, 0.000) and F at (0.193, 0.000, 0.500).

=====

(11)
First-principles (PBE-GGA) data for a geometry-optimized NiOsC structure, as listed in Alexandria.

The calculation puts the uncorrected energy at -8.327 eV per atom. As for the excess energy over the best structure of this formula in the dataset: 76 meV/atom.

The structure belongs to space group R3m (No. 160, hexagonal axes); the cell edges are 2.7637, 2.7637 and 14.3291 Å and the angles 90.00°, 90.00° and 120.00°. The inequivalent atoms are Ni at (0.0000, 0.0000, 0.0000), Os at (0.0000, 0.0000, 0.1805) and C at (0.0000, 0.0000, 0.7533).

=====

(12)
First-principles (PBE-GGA) data for a geometry-optimized AcEuCuPb structure, as listed in Alexandria.

The calculation puts the uncorrected energy at -5.860 eV per atom.

The structure belongs to space group F-43m (No. 216); the cell edges are 7.906, 7.906 and 7.906 Å and the angles 90.00°, 90.00° and 90.00°. The inequivalent atoms are Ac at (0.000, 0.000, 0.000), Eu at (0.000, 0.000, 0.500), Cu at (0.250, 0.250, 0.750) and Pb at (0.250, 0.250, 0.250).

=====

(13)
First-principles (PBE-GGA) data for a geometry-optimized TbMg4Pd2 structure, as listed in Alexandria.

The calculation puts the uncorrected energy at -3.553 eV per atom.

The structure belongs to space group P4_2/mnm (No. 136); the cell edges are 8.027, 8.027 and 4.507 Å and the angles 90.00°, 90.00° and 90.00°. The inequivalent atoms are Tb at (0.000, 0.000, 0.000), Mg at (0.087, 0.336, 0.500) and Pd at (0.233, 0.767, 0.500).